[1]
## Pm2InSn3Pd4 (PBE-GGA)

Data for Pm2InSn3Pd4 after structural relaxation.

The value obtained for the density of states at the Fermi level is 5.4 states/eV/cell. The value obtained for the magnetization is 0.00 μB per cell. The value obtained for the formation energy from the elements is -0.74 eV/atom.

Cell lengths 4.5362, 4.5362, 10.9121 Å; angles 90.00, 90.00, 90.00 degrees
Fractional positions:
Pm 0.5000 0.0000 0.2423
Pm 0.0000 0.5000 0.7577
In 0.5000 0.5000 0.5000
Sn 0.0000 0.0000 0.5000
Sn 0.5000 0.0000 0.8723
Sn 0.0000 0.5000 0.1277
Pd 0.5000 0.5000 0.0000
Pd 0.0000 0.0000 0.0000
Pd 0.5000 0.0000 0.6356
Pd 0.0000 0.5000 0.3644


[2]
## Pm2InSnPd6 (PBE-GGA)

Data for Pm2InSnPd6 after structural relaxation.

The value obtained for the density of states at the Fermi level is 5.3 states/eV/cell. The value obtained for the magnetization is 0.00 μB per cell. The value obtained for the formation energy from the elements is -0.62 eV/atom.

Cell lengths 6.6543, 6.7223, 9.2007 Å; angles 46.24, 46.85, 72.73 degrees
Fractional positions:
Pm 0.7500 0.2500 0.5027
Pm 0.2500 0.7500 0.4973
In 0.0000 0.0000 0.0000
Sn 0.5000 0.5000 0.0000
Pd 0.1894 0.3116 0.4984
Pd 0.6881 0.8103 0.9998
Pd 0.2485 0.7515 0.8071
Pd 0.7515 0.2485 0.1929
Pd 0.3119 0.1897 0.0002
Pd 0.8106 0.6884 0.5016


[3]
## TbPmInPd (PBE-GGA)

Data for TbPmInPd after structural relaxation.

The value obtained for the density of states at the Fermi level is 3.7 states/eV/cell. The value obtained for the magnetization is 0.00 μB per cell. The value obtained for the formation energy from the elements is -0.57 eV/atom.

Cell lengths 5.2390, 5.2390, 5.2390 Å; angles 60.00, 60.00, 60.00 degrees
Fractional positions:
In 0.5000 0.5000 0.5000
Tb 0.2500 0.2500 0.2500
Pd 0.0000 0.0000 0.0000
Pm 0.7500 0.7500 0.7500